No. 1
Compound: SrLi2Cu
Source: OQMD
Functional: PBE-GGA
Structure: optimized geometry

Geometry as POSCAR:
```
SrLi2Cu
1.0
0.000 3.571 3.571
3.571 0.000 3.571
3.571 3.571 0.000
Cu Li Sr
1 2 1
Direct
0.250 0.250 0.250 Cu
0.000 0.000 0.000 Li
0.750 0.750 0.750 Li
0.500 0.500 0.500 Sr
```

Computed properties:
symmetry: F-43m (216)
volume: 91.08 Å³ per cell
final energy: -2.1897 eV/atom

No. 2
Compound: Li2TaCu
Source: OQMD
Functional: PBE-GGA
Structure: optimized geometry

Geometry as POSCAR:
```
Li2TaCu
1.0
0.000 3.012 3.012
3.012 0.000 3.012
3.012 3.012 0.000
Cu Li Ta
1 2 1
Direct
0.250 0.250 0.250 Cu
0.000 0.000 0.000 Li
0.750 0.750 0.750 Li
0.500 0.500 0.500 Ta
```

Computed properties:
magnetic moment: 0.00 Bohr magnetons per cell
symmetry: F-43m (216)
volume: 54.67 Å³ per cell
final energy: -4.4395 eV/atom

No. 3
Compound: LiTaCuTe3
Source: OQMD
Functional: PBE-GGA
Structure: optimized geometry

Geometry as POSCAR:
```
LiTaCuTe3
1.0
7.048 -1.883 0.000
7.048 1.883 0.000
0.000 0.000 10.294
Te Cu Ta Li
6 2 2 2
Direct
0.357 0.357 0.445 Te
0.643 0.643 0.945 Te
0.643 0.643 0.555 Te
0.357 0.357 0.055 Te
0.902 0.902 0.750 Te
0.098 0.098 0.250 Te
0.529 0.529 0.750 Cu
0.471 0.471 0.250 Cu
0.000 0.000 0.500 Ta
0.000 0.000 0.000 Ta
0.778 0.778 0.250 Li
0.222 0.222 0.750 Li
```

Computed properties:
magnetic moment: 0.99 Bohr magnetons per cell
symmetry: Cmcm (63)
volume: 273.16 Å³ per cell
final energy: -4.7923 eV/atom

No. 4
Compound: LiTaZnCu
Source: OQMD
Functional: PBE-GGA
Structure: optimized geometry

Geometry as POSCAR:
```
LiTaZnCu
1.0
0.000 3.021 3.021
3.021 0.000 3.021
3.021 3.021 0.000
Li Cu Ta Zn
1 1 1 1
Direct
0.500 0.500 0.500 Li
0.750 0.750 0.750 Cu
0.250 0.250 0.250 Ta
0.000 0.000 0.000 Zn
```

Computed properties:
magnetic moment: 0.01 Bohr magnetons per cell
symmetry: F-43m (216)
volume: 55.16 Å³ per cell
final energy: -4.3482 eV/atom

No. 5
Compound: LiTaZnCu
Source: OQMD
Functional: PBE-GGA
Structure: optimized geometry

Geometry as POSCAR:
```
LiTaZnCu
1.0
-3.672 -2.003 0.794
-3.174 2.066 1.946
-3.508 1.045 -2.174
Li Zn Ta Cu
1 1 1 1
Direct
0.250 0.250 0.250 Li
0.000 0.000 0.000 Zn
0.500 0.500 0.500 Ta
0.750 0.750 0.750 Cu
```

Computed properties:
magnetic moment: 0.00 Bohr magnetons per cell
symmetry: F-43m (216)
volume: 54.56 Å³ per cell
final energy: -4.4645 eV/atom

No. 6
Compound: Li2Tb2Cu15
Source: OQMD
Functional: PBE-GGA
Structure: optimized geometry

Geometry as POSCAR:
```
Li2Tb2Cu15
1.0
-4.254 -4.834 -0.489
3.062 -4.199 3.833
-3.303 1.244 5.408
Tb Cu Li
2 15 2
Direct
0.654 0.654 0.654 Tb
0.346 0.346 0.346 Tb
0.697 0.000 0.303 Cu
0.500 0.000 0.000 Cu
0.000 0.303 0.697 Cu
0.000 0.500 0.000 Cu
0.000 0.697 0.303 Cu
0.841 0.345 0.345 Cu
0.655 0.655 0.159 Cu
0.303 0.000 0.697 Cu
0.655 0.159 0.655 Cu
0.000 0.000 0.500 Cu
0.345 0.345 0.841 Cu
0.697 0.303 0.000 Cu
0.303 0.697 0.000 Cu
0.159 0.655 0.655 Cu
0.345 0.841 0.345 Cu
0.094 0.094 0.094 Li
0.906 0.906 0.906 Li
```

Computed properties:
magnetic moment: 0.01 Bohr magnetons per cell
symmetry: R-3m (166)
volume: 263.07 Å³ per cell
final energy: -3.7640 eV/atom

No. 7
Compound: LiTbCu3Te4
Source: OQMD
Functional: PBE-GGA
Structure: optimized geometry

Geometry as POSCAR:
```
LiTbCu3Te4
1.0
-4.780 2.394 -3.103
-4.605 -0.497 6.712
4.138 7.956 3.428
Te Tb Cu Li
8 2 6 2
Direct
0.569 0.524 0.740 Te
0.894 0.750 0.041 Te
0.431 0.024 0.260 Te
0.106 0.250 0.959 Te
0.034 0.750 0.603 Te
0.966 0.250 0.397 Te
0.569 0.976 0.740 Te
0.431 0.476 0.260 Te
0.758 0.750 0.314 Tb
0.242 0.250 0.686 Tb
0.306 0.921 0.486 Cu
0.226 0.750 0.245 Cu
0.774 0.250 0.755 Cu
0.694 0.079 0.514 Cu
0.306 0.579 0.486 Cu
0.694 0.421 0.514 Cu
0.247 0.750 0.905 Li
0.753 0.250 0.095 Li
```

Computed properties:
magnetic moment: 0.00 Bohr magnetons per cell
symmetry: P2_1/m (11)
volume: 475.05 Å³ per cell
final energy: -3.7789 eV/atom

No. 8
Compound: LiTbCu3Te4
Source: OQMD
Functional: PBE-GGA
Structure: optimized geometry

Geometry as POSCAR:
```
LiTbCu3Te4
1.0
6.248 0.000 0.000
0.000 6.248 0.000
0.000 0.000 6.248
Te Li Tb Cu
4 1 1 3
Direct
0.761 0.239 0.761 Te
0.239 0.761 0.761 Te
0.239 0.239 0.239 Te
0.761 0.761 0.239 Te
0.000 0.000 0.000 Li
0.500 0.500 0.500 Tb
0.500 0.000 0.500 Cu
0.000 0.500 0.500 Cu
0.500 0.500 0.000 Cu
```

Computed properties:
magnetic moment: 0.00 Bohr magnetons per cell
symmetry: P-43m (215)
volume: 243.89 Å³ per cell
final energy: -3.8190 eV/atom